Entry 1:
! CdRu3Au | Alexandria via LeMat-Bulk | PBE-GGA | optimized geometry; values from VASP
&SYSTEM
  ibrav = 0, nat = 5, ntyp = 3
/
ATOMIC_SPECIES
Cd 112.41 Cd.upf
Ru 101.07 Ru.upf
Au 196.97 Au.upf
ATOMIC_POSITIONS angstrom
Cd 0.000 0.000 0.000
Ru 0.000 2.450 2.450
Ru 2.450 0.000 2.450
Ru 2.450 2.450 0.000
Au 2.450 2.450 2.450
CELL_PARAMETERS angstrom
4.900 0.000 0.000
0.000 4.900 0.000
0.000 0.000 4.900
! Total DFT energy (no corrections) in eV for the cell shown: -22.22
! Distance to the lowest polymorph of the same formula in meV per atom: 0
! DOS(E_F) in states/eV per cell: 7.0
! Formation energy in meV/atom: 1959
! Size of the total moment in μB/atom: 1.2137


Entry 2:
! CdRu2Au | Alexandria via LeMat-Bulk | PBE-GGA | optimized geometry; values from VASP
&SYSTEM
  ibrav = 0, nat = 4, ntyp = 3
/
ATOMIC_SPECIES
Cd 112.41 Cd.upf
Ru 101.07 Ru.upf
Au 196.97 Au.upf
ATOMIC_POSITIONS angstrom
Cd 0.000 0.000 0.000
Ru 0.000 1.970 2.149
Ru 1.970 0.000 2.149
Au 1.970 1.970 0.000
CELL_PARAMETERS angstrom
3.941 0.000 0.000
0.000 3.941 0.000
0.000 0.000 4.299
! Total DFT energy (no corrections) in eV for the cell shown: -20.88
! DOS(E_F) in states/eV per cell: 3.7
! Formation energy in meV/atom: 466
! Size of the total moment in μB/atom: 0.7896


Entry 3:
! CdRuAu4 | Alexandria via LeMat-Bulk | PBE-GGA | optimized geometry; values from VASP
&SYSTEM
  ibrav = 0, nat = 6, ntyp = 3
/
ATOMIC_SPECIES
Cd 112.41 Cd.upf
Ru 101.07 Ru.upf
Au 196.97 Au.upf
ATOMIC_POSITIONS angstrom
Cd 0.000 0.000 0.000
Ru 5.798 5.798 5.798
Au 2.900 2.900 2.900
Au 4.831 4.831 2.900
Au 4.831 2.900 4.831
Au 2.900 4.831 4.831
CELL_PARAMETERS angstrom
0.000 3.865 3.865
3.865 0.000 3.865
3.865 3.865 0.000
! Total DFT energy (no corrections) in eV for the cell shown: -20.85
! DOS(E_F) in states/eV per cell: 7.3
! Formation energy in meV/atom: 408
! Size of the total moment in μB/atom: 0.3575


Entry 4:
! CdRu2Au | Alexandria via LeMat-Bulk | PBE-GGA | optimized geometry; values from VASP
&SYSTEM
  ibrav = 0, nat = 8, ntyp = 3
/
ATOMIC_SPECIES
Cd 112.41 Cd.upf
Ru 101.07 Ru.upf
Au 196.97 Au.upf
ATOMIC_POSITIONS angstrom
Cd 0.000 0.000 0.000
Cd 0.000 1.414 5.537
Ru 0.000 0.000 8.139
Ru 0.000 1.414 2.602
Ru 2.147 0.000 7.019
Ru 2.147 1.414 1.483
Au 2.147 0.000 4.074
Au 2.147 1.414 9.611
CELL_PARAMETERS angstrom
4.294 0.000 0.000
0.000 2.827 0.000
0.000 0.000 11.073
! Total DFT energy (no corrections) in eV for the cell shown: -42.61
! DOS(E_F) in states/eV per cell: 5.8
! Formation energy in meV/atom: 359
! Size of the total moment in μB/atom: 0.0000


Entry 5:
! CdRu2Au | Alexandria via LeMat-Bulk | PBE-GGA | optimized geometry; values from VASP
&SYSTEM
  ibrav = 0, nat = 4, ntyp = 3
/
ATOMIC_SPECIES
Cd 112.41 Cd.upf
Ru 101.07 Ru.upf
Au 196.97 Au.upf
ATOMIC_POSITIONS angstrom
Cd 0.000 0.000 0.000
Ru 1.408 1.408 2.146
Ru 1.408 1.408 6.275
Au 0.000 0.000 4.211
CELL_PARAMETERS angstrom
2.815 0.000 0.000
0.000 2.815 0.000
0.000 0.000 8.421
! Total DFT energy (no corrections) in eV for the cell shown: -20.71
! DOS(E_F) in states/eV per cell: 4.0
! Formation energy in meV/atom: 508
! Size of the total moment in μB/atom: 0.7998


Entry 6:
! CdRu2Au | Alexandria via LeMat-Bulk | PBE-GGA | optimized geometry; values from VASP
&SYSTEM
  ibrav = 0, nat = 12, ntyp = 3
/
ATOMIC_SPECIES
Cd 112.41 Cd.upf
Ru 101.07 Ru.upf
Au 196.97 Au.upf
ATOMIC_POSITIONS angstrom
Cd 0.000 0.000 0.000
Cd 0.000 1.642 18.873
Cd 1.422 0.821 9.437
Ru 0.000 0.000 6.975
Ru 0.000 0.000 14.454
Ru 0.000 1.642 5.017
Ru 0.000 1.642 25.848
Ru 1.422 0.821 16.412
Ru 1.422 0.821 23.890
Au 0.000 0.000 21.469
Au 0.000 1.642 12.032
Au 1.422 0.821 2.595
CELL_PARAMETERS angstrom
2.843 0.000 0.000
-1.422 2.462 0.000
0.000 0.000 28.310
! Total DFT energy (no corrections) in eV for the cell shown: -65.80
! DOS(E_F) in states/eV per cell: 13.0
! Formation energy in meV/atom: 203
! Size of the total moment in μB/atom: 0.0000


Question: The lowest formation energy belongs to which entry?
Answer: number 6